1.
First-principles (PBE-GGA) data for a relaxed structure of CoHgSbCl6, as listed in Alexandria.

Computed properties:
D(E_F)	0.92	states/eV per atom
formation energy (no corrections)	-0.580	eV per atom
V	27.44	Å³/atom
space-group type	C2, No. 5

abc: 6.623 6.624 6.500
angles: 89.93 89.95 60.00
Atoms (fractional coordinates):
Co 0.667 0.667 0.500
Hg 0.000 0.000 0.000
Sb 0.333 0.333 0.500
Cl 0.974 0.376 0.282
Cl 0.376 0.973 0.718
Cl 0.650 0.376 0.718
Cl 0.973 0.650 0.718
Cl 0.376 0.651 0.282
Cl 0.651 0.973 0.282

2.
First-principles (PBE-GGA) data for a relaxed structure of Y7Ag2Hg2, as listed in Alexandria.

Computed properties:
D(E_F)	1.30	states/eV per atom
electronic total energy	-51.86	eV/cell
V	29.81	Å³/atom
space-group type	Cmmm, No. 65

abc: 6.682 7.870 6.682
angles: 89.97 111.06 90.03
Atoms (fractional coordinates):
Y 0.000 0.290 0.500
Y 0.500 0.710 0.000
Y 0.000 0.710 0.500
Y 0.500 0.290 0.000
Y 0.000 0.000 0.000
Y 0.500 0.729 0.500
Y 0.500 0.271 0.500
Ag 0.820 0.500 0.820
Ag 0.180 0.500 0.180
Hg 0.705 0.000 0.295
Hg 0.295 0.000 0.705

3.
First-principles (PBE-GGA) data for a relaxed structure of NbVCr, as listed in Alexandria.

Computed properties:
D(E_F)	0.50	states/eV per atom
polymorph energy (0 for the lowest one)	0.000	eV per atom
V	14.65	Å³/atom
space-group type	Imma, No. 74

abc: 4.987 4.987 4.987
angles: 120.53 119.21 90.23
Atoms (fractional coordinates):
Nb 0.126 0.876 0.250
Nb 0.874 0.124 0.750
V 0.500 0.500 0.000
V 0.000 0.500 0.500
Cr 0.500 0.500 0.500
Cr 0.500 0.000 0.000